Entry from Alexandria via LeMat-Bulk: an optimized crystal structure of SmYHoPu (PBE).

Geometry as POSCAR:
```
SmYHoPu
1.0
0.000 3.977 3.977
3.977 0.000 3.977
3.977 3.977 0.000
Sm Y Ho Pu
1 1 1 1
Cartesian
0.000 0.000 0.000
5.966 5.966 5.966
1.989 1.989 1.989
3.977 3.977 3.977
```

Properties
DOS at the Fermi energy (states/eV/cell): 11.563
Uncorrected energy (Ha/atom): -0.2688
Space-group type: F-43m, No. 216
Total magnetic moment (μB per formula unit): 6.55
ΔH_f (0 K) (eV per atom): 0.208

Entry from Alexandria via LeMat-Bulk: an optimized crystal structure of HoPu5Sn6 (PBE).

Geometry as POSCAR:
```
HoPu5Sn6
1.0
-2.407 4.502 7.231
2.407 -4.502 7.231
2.407 4.502 -7.231
Ho Pu Sn
1 5 6
Cartesian
0.000 0.000 0.000
2.407 0.000 2.463
0.000 0.000 4.755
0.000 4.502 0.000
0.000 0.000 9.708
0.000 4.502 4.768
2.407 -2.258 4.845
2.407 2.247 0.000
0.000 2.245 2.386
2.407 2.258 4.845
0.000 2.255 7.231
0.000 6.760 2.386
```

Properties
DOS at the Fermi energy (states/eV/cell): 43.335
Uncorrected energy (Ha/atom): -0.3213
Space-group type: Immm, No. 71
Total magnetic moment (μB per formula unit): 18.10
ΔH_f (0 K) (eV per atom): -0.390

Entry from Alexandria via LeMat-Bulk: an optimized crystal structure of Ho2PuSn (PBE).

Geometry as POSCAR:
```
Ho2PuSn
1.0
3.796 0.000 0.000
0.000 3.796 0.000
0.000 0.000 7.767
Ho Pu Sn
2 1 1
Cartesian
0.000 0.000 1.761
0.000 0.000 6.006
1.898 1.898 3.884
1.898 1.898 0.000
```

Properties
DOS at the Fermi energy (states/eV/cell): 7.145
Distance to the lowest polymorph of the same formula (kJ/mol of formula units): 42
Uncorrected energy (Ha/atom): -0.2600
Space-group type: P4/mmm, No. 123
Total magnetic moment (μB per formula unit): 6.97
ΔH_f (0 K) (eV per atom): -0.203

Entry from Alexandria via LeMat-Bulk: an optimized crystal structure of HoPu2Sn (PBE).

Geometry as POSCAR:
```
HoPu2Sn
1.0
0.000 3.791 3.791
3.791 0.000 3.791
3.791 3.791 0.000
Ho Pu Sn
1 2 1
Cartesian
0.000 0.000 0.000
1.895 1.895 1.895
5.686 5.686 5.686
3.791 3.791 3.791
```

Properties
DOS at the Fermi energy (states/eV/cell): 13.290
Distance to the lowest polymorph of the same formula (kJ/mol of formula units): 108
Uncorrected energy (Ha/atom): -0.3431
Space-group type: Fm-3m, No. 225
Total magnetic moment (μB per formula unit): 12.60
ΔH_f (0 K) (eV per atom): -0.026

Entry from Alexandria via LeMat-Bulk: an optimized crystal structure of Ho2PuSn (PBE).

Geometry as POSCAR:
```
Ho2PuSn
1.0
1.740 1.004 10.798
-1.740 1.004 10.798
0.000 -2.009 10.798
Ho Pu Sn
2 1 1
Cartesian
0.000 0.000 7.996
0.000 0.000 24.399
0.000 0.000 0.000
0.000 0.000 16.197
```

Properties
DOS at the Fermi energy (states/eV/cell): 10.086
Distance to the lowest polymorph of the same formula (kJ/mol of formula units): 65
Uncorrected energy (Ha/atom): -0.2579
Space-group type: R-3m, No. 166
Total magnetic moment (μB per formula unit): 6.09
ΔH_f (0 K) (eV per atom): -0.145

Entry from Alexandria via LeMat-Bulk: an optimized crystal structure of HoPuSn6 (PBE).

Geometry as POSCAR:
```
HoPuSn6
1.0
4.731 0.000 0.000
0.000 4.731 0.000
0.000 0.000 9.193
Ho Pu Sn
1 1 6
Cartesian
0.000 0.000 0.000
0.000 0.000 4.597
0.000 2.365 2.307
0.000 2.365 6.886
2.365 0.000 2.307
2.365 0.000 6.886
2.365 2.365 0.000
2.365 2.365 4.597
```

Properties
DOS at the Fermi energy (states/eV/cell): 10.468
Uncorrected energy (Ha/atom): -0.2114
Space-group type: P4/mmm, No. 123
Total magnetic moment (μB per formula unit): 5.57
ΔH_f (0 K) (eV per atom): -0.386

Entry from Alexandria via LeMat-Bulk: an optimized crystal structure of Ho2PuSn (PBE).

Geometry as POSCAR:
```
Ho2PuSn
1.0
0.000 3.782 3.782
3.782 0.000 3.782
3.782 3.782 0.000
Ho Pu Sn
2 1 1
Cartesian
1.891 1.891 1.891
5.673 5.673 5.673
0.000 0.000 0.000
3.782 3.782 3.782
```

Properties
DOS at the Fermi energy (states/eV/cell): 13.551
Distance to the lowest polymorph of the same formula (kJ/mol of formula units): 59
Uncorrected energy (Ha/atom): -0.2584
Space-group type: Fm-3m, No. 225
Total magnetic moment (μB per formula unit): 6.75
ΔH_f (0 K) (eV per atom): -0.159

Entry from Alexandria via LeMat-Bulk: an optimized crystal structure of HoPu2Sn2 (PBE).

Geometry as POSCAR:
```
HoPu2Sn2
1.0
4.945 0.000 0.000
-2.473 4.283 0.000
0.000 0.000 13.033
Ho Pu Sn
2 4 4
Cartesian
0.000 2.855 3.258
2.473 1.428 9.775
0.000 2.855 6.888
0.000 2.855 12.661
2.473 1.428 0.371
2.473 1.428 6.145
0.000 0.000 1.709
0.000 0.000 4.807
0.000 0.000 8.225
0.000 0.000 11.324
```

Properties
DOS at the Fermi energy (states/eV/cell): 27.200
Uncorrected energy (Ha/atom): -0.3158
Space-group type: P6_3/mmc, No. 194
Total magnetic moment (μB per formula unit): 11.55
ΔH_f (0 K) (eV per atom): -0.343

Entry from Alexandria via LeMat-Bulk: an optimized crystal structure of HoPu2Sn (PBE).

Geometry as POSCAR:
```
HoPu2Sn
1.0
4.550 0.000 0.000
0.000 4.550 0.000
0.000 0.000 5.107
Ho Pu Sn
1 2 1
Cartesian
0.000 0.000 0.000
0.000 2.275 2.553
2.275 0.000 2.553
2.275 2.275 0.000
```

Properties
DOS at the Fermi energy (states/eV/cell): 10.511
Distance to the lowest polymorph of the same formula (kJ/mol of formula units): 0
Uncorrected energy (Ha/atom): -0.3534
Space-group type: P4/mmm, No. 123
Total magnetic moment (μB per formula unit): 12.41
ΔH_f (0 K) (eV per atom): -0.304

Entry from Alexandria via LeMat-Bulk: an optimized crystal structure of Ho2PuSn (PBE).

Geometry as POSCAR:
```
Ho2PuSn
1.0
4.854 0.000 0.000
0.000 4.854 0.000
0.000 0.000 4.604
Ho Pu Sn
2 1 1
Cartesian
0.000 2.427 0.000
2.427 0.000 0.000
0.000 0.000 2.302
2.427 2.427 2.302
```

Properties
DOS at the Fermi energy (states/eV/cell): 12.344
Distance to the lowest polymorph of the same formula (kJ/mol of formula units): 0
Uncorrected energy (Ha/atom): -0.2640
Space-group type: P4/mmm, No. 123
Total magnetic moment (μB per formula unit): 6.76
ΔH_f (0 K) (eV per atom): -0.312

Entry from Alexandria via LeMat-Bulk: an optimized crystal structure of HoPuTlSn (PBE).

Geometry as POSCAR:
```
HoPuTlSn
1.0
0.000 3.788 3.788
3.788 0.000 3.788
3.788 3.788 0.000
Ho Pu Tl Sn
1 1 1 1
Cartesian
0.000 0.000 0.000
3.788 3.788 3.788
1.894 1.894 1.894
5.683 5.683 5.683
```

Properties
DOS at the Fermi energy (states/eV/cell): 10.850
Uncorrected energy (Ha/atom): -0.2430
Space-group type: F-43m, No. 216
Total magnetic moment (μB per formula unit): 6.20
ΔH_f (0 K) (eV per atom): -0.293

Entry from Alexandria via LeMat-Bulk: an optimized crystal structure of HoTmPuSn (PBE).

Geometry as POSCAR:
```
HoTmPuSn
1.0
0.000 3.792 3.792
3.792 0.000 3.792
3.792 3.792 0.000
Ho Tm Pu Sn
1 1 1 1
Cartesian
0.000 0.000 0.000
5.688 5.688 5.688
3.792 3.792 3.792
1.896 1.896 1.896
```

Properties
DOS at the Fermi energy (states/eV/cell): 10.373
Uncorrected energy (Ha/atom): -0.2564
Space-group type: F-43m, No. 216
Total magnetic moment (μB per formula unit): 6.82
ΔH_f (0 K) (eV per atom): -0.132

Entry from Alexandria via LeMat-Bulk: an optimized crystal structure of YHoPuSn (PBE).

Geometry as POSCAR:
```
YHoPuSn
1.0
0.000 3.816 3.816
3.816 0.000 3.816
3.816 3.816 0.000
Y Ho Pu Sn
1 1 1 1
Cartesian
0.000 0.000 0.000
5.724 5.724 5.724
3.816 3.816 3.816
1.908 1.908 1.908
```

Properties
DOS at the Fermi energy (states/eV/cell): 10.701
Uncorrected energy (Ha/atom): -0.2748
Space-group type: F-43m, No. 216
Total magnetic moment (μB per formula unit): 6.97
ΔH_f (0 K) (eV per atom): -0.134

Entry from Alexandria via LeMat-Bulk: an optimized crystal structure of HoPuZnSn (PBE).

Geometry as POSCAR:
```
HoPuZnSn
1.0
0.000 3.683 3.683
3.683 0.000 3.683
3.683 3.683 0.000
Ho Pu Zn Sn
1 1 1 1
Cartesian
0.000 0.000 0.000
3.683 3.683 3.683
1.841 1.841 1.841
5.524 5.524 5.524
```

Properties
DOS at the Fermi energy (states/eV/cell): 9.331
Uncorrected energy (Ha/atom): -0.2343
Space-group type: F-43m, No. 216
Total magnetic moment (μB per formula unit): 6.34
ΔH_f (0 K) (eV per atom): -0.329

Entry from Alexandria via LeMat-Bulk: an optimized crystal structure of SrHo2Pu (PBE).

Geometry as POSCAR:
```
SrHo2Pu
1.0
1.776 1.025 12.533
-1.776 1.025 12.533
0.000 -2.050 12.533
Sr Ho Pu
1 2 1
Cartesian
0.000 0.000 0.000
0.000 0.000 3.523
0.000 0.000 34.076
0.000 0.000 18.800
```

Properties
DOS at the Fermi energy (states/eV/cell): 12.004
Uncorrected energy (Ha/atom): -0.2195
Space-group type: R-3m, No. 166
Total magnetic moment (μB per formula unit): 6.20
ΔH_f (0 K) (eV per atom): 0.320

Entry from Alexandria via LeMat-Bulk: an optimized crystal structure of Sr3Ho3PuTe8 (PBE).

Geometry as POSCAR:
```
Sr3Ho3PuTe8
1.0
4.451 2.570 7.592
-4.451 2.570 7.592
0.000 -5.140 7.592
Sr Ho Pu Te
3 3 1 8
Cartesian
-2.226 -1.285 7.592
-2.226 1.285 15.184
0.000 2.570 7.592
-4.451 0.000 11.388
-2.226 1.285 3.796
2.226 1.285 3.796
0.000 0.000 11.388
-2.306 -1.331 13.162
0.000 0.000 5.537
0.000 -2.663 9.615
-2.306 1.331 9.615
2.306 -1.331 13.162
0.000 2.663 13.162
0.000 0.000 17.239
2.306 1.331 9.615
```

Properties
DOS at the Fermi energy (states/eV/cell): 20.512
Uncorrected energy (Ha/atom): -0.1957
Space-group type: R-3m, No. 166
Total magnetic moment (μB per formula unit): 5.80
Formation energy without anion corrections (meV per atom): -1442

Entry from Alexandria via LeMat-Bulk: an optimized crystal structure of Tb2HoPu (PBE).

Geometry as POSCAR:
```
Tb2HoPu
1.0
3.494 0.000 0.000
0.000 3.494 0.000
0.000 0.000 10.012
Tb Ho Pu
2 1 1
Cartesian
0.000 0.000 2.463
0.000 0.000 7.549
1.747 1.747 5.006
1.747 1.747 0.000
```

Properties
DOS at the Fermi energy (states/eV/cell): 9.976
Distance to the lowest polymorph of the same formula (kJ/mol of formula units): 1
Uncorrected energy (Ha/atom): -0.2552
Space-group type: P4/mmm, No. 123
Total magnetic moment (μB per formula unit): 6.11
ΔH_f (0 K) (eV per atom): 0.098

Entry from Alexandria via LeMat-Bulk: an optimized crystal structure of Tb14HoPu (PBE).

Geometry as POSCAR:
```
Tb14HoPu
1.0
7.107 0.000 0.000
0.000 7.107 0.000
0.000 0.000 10.000
Tb Ho Pu
14 1 1
Cartesian
0.000 0.000 0.000
0.000 3.553 0.000
0.000 3.553 5.000
1.767 1.767 2.523
1.767 1.767 7.476
1.767 5.340 2.523
1.767 5.340 7.476
3.553 0.000 0.000
3.553 0.000 5.000
3.553 3.553 0.000
5.340 1.767 2.523
5.340 1.767 7.476
5.340 5.340 2.523
5.340 5.340 7.476
3.553 3.553 5.000
0.000 0.000 5.000
```

Properties
DOS at the Fermi energy (states/eV/cell): 26.876
Uncorrected energy (Ha/atom): -0.1910
Space-group type: P4/mmm, No. 123
Total magnetic moment (μB per formula unit): 6.02
ΔH_f (0 K) (eV per atom): 0.036

Entry from Alexandria via LeMat-Bulk: an optimized crystal structure of TbHo2Pu (PBE).

Geometry as POSCAR:
```
TbHo2Pu
1.0
0.000 3.938 3.938
3.938 0.000 3.938
3.938 3.938 0.000
Tb Ho Pu
1 2 1
Cartesian
0.000 0.000 0.000
1.969 1.969 1.969
5.908 5.908 5.908
3.938 3.938 3.938
```

Properties
DOS at the Fermi energy (states/eV/cell): 10.616
Distance to the lowest polymorph of the same formula (kJ/mol of formula units): 39
Uncorrected energy (Ha/atom): -0.2512
Space-group type: Fm-3m, No. 225
Total magnetic moment (μB per formula unit): 6.90
ΔH_f (0 K) (eV per atom): 0.194

Entry from Alexandria via LeMat-Bulk: an optimized crystal structure of TbHoPu (PBE).

Geometry as POSCAR:
```
TbHoPu
1.0
-1.748 1.748 7.394
1.748 -1.748 7.394
1.748 1.748 -7.394
Tb Ho Pu
1 1 1
Cartesian
0.000 0.000 0.000
0.000 0.000 9.934
0.000 0.000 4.958
```

Properties
DOS at the Fermi energy (states/eV/cell): 7.109
Distance to the lowest polymorph of the same formula (kJ/mol of formula units): 0
Uncorrected energy (Ha/atom): -0.2843
Space-group type: I4mm, No. 107
Total magnetic moment (μB per formula unit): 6.13
ΔH_f (0 K) (eV per atom): 0.109

Entry from Alexandria via LeMat-Bulk: an optimized crystal structure of Tb8Ho3Pu (PBE).

Geometry as POSCAR:
```
Tb8Ho3Pu
1.0
-3.818 3.818 7.653
3.818 -3.818 7.653
3.818 3.818 -7.653
Tb Ho Pu
8 3 1
Cartesian
1.868 1.868 -1.858
1.950 -1.950 5.795
1.868 1.868 1.858
1.950 -1.950 9.512
-1.950 1.950 5.795
1.950 1.950 5.795
-1.950 1.950 9.512
1.950 1.950 9.512
3.818 0.000 3.827
0.000 0.000 7.653
0.000 3.818 3.827
0.000 0.000 0.000
```

Properties
DOS at the Fermi energy (states/eV/cell): 20.379
Uncorrected energy (Ha/atom): -0.1724
Space-group type: I4/mmm, No. 139
Total magnetic moment (μB per formula unit): 5.81
ΔH_f (0 K) (eV per atom): 0.735

Entry from Alexandria via LeMat-Bulk: an optimized crystal structure of Tb2HoPu (PBE).

Geometry as POSCAR:
```
Tb2HoPu
1.0
4.966 0.000 0.000
0.000 4.966 0.000
0.000 0.000 4.960
Tb Ho Pu
2 1 1
Cartesian
0.000 2.483 0.000
2.483 0.000 0.000
0.000 0.000 2.480
2.483 2.483 2.480
```

Properties
DOS at the Fermi energy (states/eV/cell): 15.903
Distance to the lowest polymorph of the same formula (kJ/mol of formula units): 16
Uncorrected energy (Ha/atom): -0.2537
Space-group type: P4/mmm, No. 123
Total magnetic moment (μB per formula unit): 6.22
ΔH_f (0 K) (eV per atom): 0.138

Entry from Alexandria via LeMat-Bulk: an optimized crystal structure of Tb4Ho6Pu (PBE).

Geometry as POSCAR:
```
Tb4Ho6Pu
1.0
1.755 -11.558 0.000
1.755 11.558 0.000
0.000 0.000 17.233
Tb Ho Pu
8 12 2
Cartesian
1.755 8.811 11.032
1.755 8.811 14.817
1.755 3.004 9.500
1.755 3.004 16.349
1.755 -3.004 0.884
1.755 -3.004 7.733
1.755 -8.811 2.415
1.755 -8.811 6.201
0.000 0.000 0.000
0.000 0.000 8.616
1.755 5.687 12.925
1.755 5.573 1.423
1.755 5.573 7.194
1.755 0.226 11.381
1.755 0.226 14.468
1.755 -0.226 2.765
1.755 -0.226 5.852
1.755 -5.573 10.039
1.755 -5.573 15.810
1.755 -5.687 4.308
1.755 8.740 4.308
1.755 -8.740 12.925
```

Properties
DOS at the Fermi energy (states/eV/cell): 42.409
Uncorrected energy (Ha/atom): -0.1955
Space-group type: Cmcm, No. 63
Total magnetic moment (μB per formula unit): 6.09
ΔH_f (0 K) (eV per atom): 0.164

Entry from Alexandria via LeMat-Bulk: an optimized crystal structure of Tb12Ho3Pu (PBE).

Geometry as POSCAR:
```
Tb12Ho3Pu
1.0
5.010 0.000 0.000
0.000 5.010 0.000
0.000 0.000 20.038
Tb Ho Pu
12 3 1
Cartesian
0.000 0.000 0.000
0.000 0.000 5.000
0.000 0.000 10.019
0.000 0.000 15.038
0.000 2.505 2.450
0.000 2.505 7.498
0.000 2.505 12.540
0.000 2.505 17.588
2.505 0.000 2.450
2.505 0.000 7.498
2.505 0.000 12.540
2.505 0.000 17.588
2.505 2.505 4.983
2.505 2.505 10.019
2.505 2.505 15.055
2.505 2.505 0.000
```

Properties
DOS at the Fermi energy (states/eV/cell): 27.366
Uncorrected energy (Ha/atom): -0.1906
Space-group type: P4/mmm, No. 123
Total magnetic moment (μB per formula unit): 6.14
ΔH_f (0 K) (eV per atom): 0.040

Entry from Alexandria via LeMat-Bulk: an optimized crystal structure of Tb6Ho8Pu (PBE).

Geometry as POSCAR:
```
Tb6Ho8Pu
1.0
4.491 2.593 6.762
-4.491 2.593 6.762
0.000 -5.186 6.762
Tb Ho Pu
6 8 1
Cartesian
-2.546 -2.031 9.328
-3.032 1.190 10.958
0.486 -3.220 10.958
-0.486 3.220 9.328
3.032 -1.190 9.328
2.546 2.031 10.958
0.000 0.000 1.549
-1.760 0.855 7.297
0.139 -1.951 7.297
-1.620 -1.096 12.988
1.620 1.096 7.297
-0.139 1.951 12.988
1.760 -0.855 12.988
0.000 0.000 18.736
0.000 0.000 10.143
```

Properties
DOS at the Fermi energy (states/eV/cell): 19.845
Uncorrected energy (Ha/atom): -0.1887
Space-group type: R-3, No. 148
Total magnetic moment (μB per formula unit): 6.54
ΔH_f (0 K) (eV per atom): 0.114